[1]
Ce5TlIr PBE-GGA relaxed; energy relative to the elements = -0.197 eV per atom; volume = 26.7 Å³/atom
1.0
5.362 -3.425 0.000
5.362 3.425 0.000
-4.607 0.000 10.193
Ce Tl Ir
10 2 2
Cartesian
1.426 1.861 3.547
1.907 3.076 7.644
-0.582 1.017 9.447
6.994 1.861 1.549
1.722 -1.017 4.350
4.396 1.017 5.842
-0.877 -1.861 8.644
6.699 -1.017 0.746
4.210 -3.076 2.548
4.691 -1.861 6.645
4.210 0.343 2.548
1.907 -0.343 7.644
0.000 0.000 0.000
-2.303 0.000 5.096


[2]
Ce3TlIr PBE-GGA relaxed; energy relative to the elements = -0.352 eV per atom; volume = 27.2 Å³/atom
1.0
9.864 0.000 0.000
0.000 5.007 0.000
0.000 0.000 11.032
Ce Tl Ir
12 4 4
Cartesian
1.093 1.252 0.823
1.091 3.755 7.414
1.762 3.755 3.339
3.170 1.252 8.855
3.841 1.252 1.898
3.839 3.755 6.339
6.024 1.252 4.694
6.023 3.755 9.134
6.693 3.755 2.177
8.102 1.252 7.694
8.773 1.252 3.618
8.771 3.755 10.210
1.823 1.252 5.422
3.108 3.755 10.938
6.755 1.252 0.094
8.040 3.755 5.611
0.451 1.252 9.128
4.481 3.755 3.611
5.383 1.252 7.421
9.413 3.755 1.905


[3]
Ce7Tl2Ir2 PBE-GGA relaxed; energy relative to the elements = -0.215 eV per atom; volume = 26.5 Å³/atom
1.0
4.223 -5.123 0.000
4.223 5.123 0.000
-1.466 0.000 6.736
Ce Tl Ir
7 2 2
Cartesian
0.000 0.000 0.000
1.222 2.765 5.519
2.176 0.000 4.284
5.757 2.765 1.217
1.222 -2.765 5.519
4.804 0.000 2.452
5.757 -2.765 1.217
3.490 3.532 3.368
3.490 -3.532 3.368
2.842 0.000 0.305
4.138 0.000 6.431


[4]
Ce3TlIr PBE-GGA relaxed; energy relative to the elements = -0.366 eV per atom; volume = 26.2 Å³/atom
1.0
5.112 -7.494 0.000
5.112 7.494 0.000
0.000 0.000 3.420
Ce Tl Ir
6 2 2
Cartesian
2.574 1.433 0.000
5.112 3.842 0.000
2.574 -1.433 0.000
7.650 1.433 0.000
5.112 -3.842 0.000
7.650 -1.433 0.000
0.000 0.000 1.710
5.112 0.000 1.710
2.556 3.747 1.710
2.556 -3.747 1.710


[5]
Ce6TlIr2 PBE-GGA relaxed; energy relative to the elements = -0.446 eV per atom; volume = 25.1 Å³/atom
1.0
5.338 -2.330 0.000
5.338 2.330 0.000
-0.370 0.000 9.075
Ce Tl Ir
6 1 2
Cartesian
0.643 0.000 3.287
2.761 0.000 8.218
4.192 0.000 2.943
6.113 0.000 6.132
7.544 0.000 0.856
9.662 0.000 5.788
0.000 0.000 0.000
2.525 0.000 5.563
7.780 0.000 3.512


[6]
Ce5TlIr2 PBE-GGA relaxed; energy relative to the elements = -0.188 eV per atom; volume = 32.4 Å³/atom
1.0
2.717 -7.613 0.000
2.717 7.613 0.000
0.000 0.000 12.523
Ce Tl Ir
10 2 4
Cartesian
2.717 7.399 8.008
2.717 7.399 10.777
2.717 4.667 3.131
2.717 2.517 6.547
2.717 2.517 12.238
2.717 -2.517 0.285
2.717 -2.517 5.976
2.717 -4.667 9.392
2.717 -7.399 1.746
2.717 -7.399 4.515
2.717 4.533 9.392
2.717 -4.533 3.131
2.717 5.393 0.349
2.717 5.393 5.913
2.717 -5.393 6.611
2.717 -5.393 12.174


Number 1: VASP energy -6.0390 eV/atom. Number 2: VASP energy -6.1574 eV/atom. Number 3: VASP energy -6.0319 eV/atom. Number 4: VASP energy -6.1722 eV/atom. Number 5: VASP energy -6.6340 eV/atom. Number 6: VASP energy -6.4074 eV/atom.